! PBE-GGA Tl2ZnRe, relaxed; values from VASP
! - energy above the most stable polymorph in this dataset (meV per atom) = 60
! - DOS at the Fermi energy (states/eV/f.u.) = 2.5
! - symmetry = Pm, No. 6
! - total magnetic moment (μB/cell) = 0.00
! - raw total energy (eV/atom) = -3.90
! - calculated density (g/cm3) = 13.4
&SYSTEM
  ibrav = 0, nat = 4, ntyp = 3
/
ATOMIC_SPECIES
Re 186.21 Re.upf
Tl 204.38 Tl.upf
Zn 65.41 Zn.upf
CELL_PARAMETERS angstrom
4.238 0.000 0.000
0.000 3.678 0.012
0.000 1.836 5.276
ATOMIC_POSITIONS angstrom
Re 2.119 3.446 4.080
Tl 0.000 5.281 4.858
Tl 2.119 1.611 1.688
Zn 0.000 3.447 2.594